A plane-wave DFT calculation with PBE was carried out for RbSn after structural relaxation.

## Properties
Density   3265 kg/m3
Total magnetization   1.517 μB per cell
Formation enthalpy at 0 K   572 meV per atom

```
data_RbSn
_chemical_formula_sum 'Rb4 Sn4'
_space_group_name_H-M_alt 'P 1'
_space_group_IT_number 1
_cell_length_a 7.461
_cell_length_b 7.461
_cell_length_c 7.461
_cell_angle_alpha 90.00
_cell_angle_beta 90.00
_cell_angle_gamma 90.00
loop_
_space_group_symop_operation_xyz
'x,y,z'
loop_
_atom_site_label
_atom_site_fract_x
_atom_site_fract_y
_atom_site_fract_z
Rb1 0.000 0.000 0.000
Rb2 0.000 0.500 0.500
Rb3 0.500 0.000 0.500
Rb4 0.500 0.500 0.000
Sn1 0.500 0.500 0.500
Sn2 0.500 0.000 0.000
Sn3 0.000 0.500 0.000
Sn4 0.000 0.000 0.500
```

A plane-wave DFT calculation with PBE was carried out for MgSiBr2 after structural relaxation.

## Properties
ΔE to the lowest computed polymorph   374 meV per atom
Density   3404 kg/m3
E_form (uncorrected)   0.08 eV per formula unit
Total magnetization   0.026 μB per cell

```
data_MgSiBr2
_chemical_formula_sum 'Mg1 Si1 Br2'
_space_group_name_H-M_alt 'P 1'
_space_group_IT_number 1
_cell_length_a 7.175
_cell_length_b 7.175
_cell_length_c 7.175
_cell_angle_alpha 147.98
_cell_angle_beta 147.98
_cell_angle_gamma 45.92
loop_
_space_group_symop_operation_xyz
'x,y,z'
loop_
_atom_site_label
_atom_site_fract_x
_atom_site_fract_y
_atom_site_fract_z
Br1 0.000 0.000 0.000
Br2 0.250 0.750 0.500
Mg1 0.500 0.500 0.000
Si1 0.750 0.250 0.500
```

A plane-wave DFT calculation with PBE was carried out for GaAs2SeCl after structural relaxation.

## Properties
ΔE to the lowest computed polymorph   0 meV per atom
Density   4487 kg/m3
E_form (uncorrected)   2.86 eV per formula unit
Total magnetization   0.000 μB per cell

```
data_GaAs2SeCl
_chemical_formula_sum 'Ga1 As2 Se1 Cl1'
_space_group_name_H-M_alt 'P 1'
_space_group_IT_number 1
_cell_length_a 5.027
_cell_length_b 5.027
_cell_length_c 4.891
_cell_angle_alpha 90.00
_cell_angle_beta 90.00
_cell_angle_gamma 90.00
loop_
_space_group_symop_operation_xyz
'x,y,z'
loop_
_atom_site_label
_atom_site_fract_x
_atom_site_fract_y
_atom_site_fract_z
As1 0.000 0.500 0.000
As2 0.500 0.000 0.000
Ga1 0.000 0.000 0.000
Se1 0.000 0.000 0.500
Cl1 0.500 0.500 0.500
```

A plane-wave DFT calculation with PBE was carried out for Ce2Al3InAu4 after structural relaxation.

## Properties
Density   9791 kg/m3
Total magnetization   1.920 μB per cell
Formation enthalpy at 0 K   -616 meV per atom

```
data_Ce2Al3InAu4
_chemical_formula_sum 'Ce2 Al3 In1 Au4'
_space_group_name_H-M_alt 'P 1'
_space_group_IT_number 1
_cell_length_a 4.465
_cell_length_b 4.465
_cell_length_c 10.752
_cell_angle_alpha 90.00
_cell_angle_beta 90.00
_cell_angle_gamma 90.00
loop_
_space_group_symop_operation_xyz
'x,y,z'
loop_
_atom_site_label
_atom_site_fract_x
_atom_site_fract_y
_atom_site_fract_z
Ce1 0.500 0.000 0.241
Ce2 0.000 0.500 0.759
Al1 0.000 0.000 0.500
Al2 0.500 0.000 0.876
Al3 0.000 0.500 0.124
In1 0.500 0.500 0.500
Au1 0.500 0.500 0.000
Au2 0.000 0.000 0.000
Au3 0.500 0.000 0.646
Au4 0.000 0.500 0.354
```

> Which value of total magnetization does entry 2 give?

0.026 μB per cell

> total magnetization of number 3 (GaAs2SeCl)?

0.000 μB per cell